# 1
# AcPmAl2Zn2 (PBE, optimized geometry)
data_AcPmAl2Zn2
_cell_length_a 4.5953
_cell_length_b 4.5953
_cell_length_c 7.9801
_cell_angle_alpha 90.00
_cell_angle_beta 90.00
_cell_angle_gamma 120.00
_symmetry_space_group_name_H-M 'P -3 m 1'
_symmetry_Int_Tables_number 164
_symmetry_space_group_name_Hall '-P 3 2"'
loop_
_atom_site_label
_atom_site_fract_x
_atom_site_fract_y
_atom_site_fract_z
_atom_site_occupancy
Ac1 0.0000 0.0000 0.0000 1
Pm1 0.0000 0.0000 0.5000 1
Al1 0.3333 0.6667 0.7158 1
Zn1 0.3333 0.6667 0.2944 1
# Crystal system: trigonal
# ΔH_f (0 K) (meV/atom): -402

***

# 2
# Er4HPt2 (PBE, optimized geometry)
data_Er4HPt2
_cell_length_a 4.5661
_cell_length_b 4.5661
_cell_length_c 14.3937
_cell_angle_alpha 90.00
_cell_angle_beta 90.00
_cell_angle_gamma 90.00
_symmetry_space_group_name_H-M 'I 4/m m m'
_symmetry_Int_Tables_number 139
_symmetry_space_group_name_Hall '-I 4 2'
loop_
_atom_site_label
_atom_site_fract_x
_atom_site_fract_y
_atom_site_fract_z
_atom_site_occupancy
Er1 0.0000 0.0000 0.1859 1
Er2 0.0000 0.5000 0.0000 1
H1 0.0000 0.0000 0.0000 1
Pt1 0.0000 0.0000 0.3742 1
# Raw total energy (eV per atom): -5.63
# Crystal system: tetragonal

***

# 3
# Li2PuNpTe4 (PBE, optimized geometry)
data_Li2PuNpTe4
_cell_length_a 7.4462
_cell_length_b 4.3935
_cell_length_c 7.6096
_cell_angle_alpha 90.00
_cell_angle_beta 109.90
_cell_angle_gamma 90.00
_symmetry_space_group_name_H-M 'P 1 2/m 1'
_symmetry_Int_Tables_number 10
_symmetry_space_group_name_Hall '-P 2y'
loop_
_atom_site_label
_atom_site_fract_x
_atom_site_fract_y
_atom_site_fract_z
_atom_site_occupancy
Li1 0.0000 0.0000 0.0000 1
Li2 0.0000 0.5000 0.5000 1
Pu1 0.5000 0.0000 0.5000 1
Np1 0.5000 0.5000 0.0000 1
Te1 0.2429 0.0000 0.7496 1
Te2 0.2428 0.5000 0.2455 1
# Crystal system: monoclinic
# Energy relative to the elements, uncorrected (eV/atom): -0.910

***

# 4
# Sn2SbP (PBE, optimized geometry)
data_Sn2SbP
_cell_length_a 7.2859
_cell_length_b 7.2859
_cell_length_c 8.7633
_cell_angle_alpha 90.00
_cell_angle_beta 90.00
_cell_angle_gamma 90.00
_symmetry_space_group_name_H-M 'I -4 2 d'
_symmetry_Int_Tables_number 122
_symmetry_space_group_name_Hall 'I -4 2bw'
loop_
_atom_site_label
_atom_site_fract_x
_atom_site_fract_y
_atom_site_fract_z
_atom_site_occupancy
Sn1 0.2134 0.2500 0.1250 1
Sb1 0.0000 0.0000 0.5000 1
P1 0.0000 0.0000 0.0000 1
# Crystal system: tetragonal
# Energy relative to the elements, uncorrected (eV/atom): 0.174

***

Let's list magnetic moment in order: 0.00, 0.00, 9.00, 0.00 Bohr magnetons per cell.